[1]
8
Lattice="5.772 0.000 0.000 0.000 3.336 0.000 -1.926 0.000 5.528" Properties=species:S:1:pos:R:3 comment="Zr2NpUN4 (PBE-GGA, relaxed)" mass_density_kg_m3=11131 sg="P2/m (10)" raw_formation_energy_ev_per_atom=-1.50 magmom_total_mub_per_cell=4.20 pbc="T T T"
Zr 0.000 0.000 0.000
Zr 2.886 1.668 0.000
Np -0.963 1.668 2.764
U 1.923 0.000 2.764
N 0.982 1.668 1.322
N 0.018 0.000 4.208
N 3.828 0.000 1.320
N 2.865 1.668 4.207

=====

[2]
6
Lattice="4.790 0.000 0.000 0.000 3.197 0.000 -0.887 0.000 5.149" Properties=species:S:1:pos:R:3 comment="NpVN (PBE-GGA, relaxed)" mass_density_kg_m3=12717 sg="P2_1/m (11)" raw_formation_energy_ev_per_atom=-0.75 magmom_total_mub_per_cell=0.00 pbc="T T T"
Np 0.859 0.799 0.220
Np 3.044 2.398 4.929
V 0.807 2.398 2.844
V 3.097 0.799 2.305
N 1.686 0.799 3.817
N 2.217 2.398 1.333

=====

[3]
3
Lattice="-1.865 1.865 3.136 1.865 -1.865 3.136 1.865 1.865 -3.136" Properties=species:S:1:pos:R:3 comment="NpVN (PBE-GGA, relaxed)" mass_density_kg_m3=11493 sg="I4mm (107)" raw_formation_energy_ev_per_atom=0.47 magmom_total_mub_per_cell=1.64 pbc="T T T"
Np 0.000 0.000 0.000
V 0.000 0.000 4.052
N 0.000 0.000 2.155

=====

[4]
3
Lattice="2.919 0.000 0.000 -1.460 2.528 0.000 0.000 0.000 5.454" Properties=species:S:1:pos:R:3 comment="NpVN (PBE-GGA, relaxed)" mass_density_kg_m3=12456 sg="P3m1 (156)" raw_formation_energy_ev_per_atom=-0.52 magmom_total_mub_per_cell=1.34 pbc="T T T"
Np 0.000 0.000 0.000
V 0.000 1.685 2.712
N 1.460 0.843 1.670

=====

[5]
16
Lattice="5.461 0.000 0.000 0.000 3.160 0.000 0.000 0.000 10.584" Properties=species:S:1:pos:R:3 comment="NpVN2 (PBE-GGA, relaxed)" mass_density_kg_m3=11492 sg="Pnma (62)" raw_formation_energy_ev_per_atom=-1.19 magmom_total_mub_per_cell=10.22 pbc="T T T"
Np 0.427 0.790 1.509
Np 2.303 2.370 6.801
Np 3.158 0.790 3.783
Np 5.034 2.370 9.075
V 0.419 2.370 4.252
V 2.312 0.790 9.544
V 3.149 2.370 1.040
V 5.042 0.790 6.332
N 0.898 0.790 7.981
N 1.301 0.790 5.208
N 1.429 2.370 10.500
N 1.833 2.370 2.690
N 3.628 0.790 7.894
N 4.032 0.790 0.084
N 4.160 2.370 5.376
N 4.563 2.370 2.602

=====

[6]
14
Lattice="1.564 -5.061 0.000 1.564 5.061 0.000 0.000 0.000 10.143" Properties=species:S:1:pos:R:3 comment="NpW2N4 (PBE-GGA, relaxed)" mass_density_kg_m3=13669 sg="Cmcm (63)" raw_formation_energy_ev_per_atom=-0.59 magmom_total_mub_per_cell=6.28 pbc="T T T"
Np 1.564 3.896 7.607
Np 1.564 -3.896 2.536
W 1.564 1.211 5.719
W 1.564 1.211 9.496
W 1.564 -1.211 0.647
W 1.564 -1.211 4.424
N 0.000 0.000 0.000
N 0.000 0.000 5.072
N 1.564 2.385 1.120
N 1.564 2.385 3.952
N 1.564 0.723 7.607
N 1.564 -0.723 2.536
N 1.564 -2.385 6.191
N 1.564 -2.385 9.024

=====

[7]
4
Lattice="1.766 1.019 5.813 -1.766 1.019 5.813 0.000 -2.039 5.813" Properties=species:S:1:pos:R:3 comment="NpWN2 (PBE-GGA, relaxed)" mass_density_kg_m3=11872 sg="R-3m (166)" raw_formation_energy_ev_per_atom=-0.34 magmom_total_mub_per_cell=2.90 pbc="T T T"
Np 0.000 0.000 0.000
W 0.000 0.000 8.720
N 0.000 0.000 6.792
N 0.000 0.000 10.647

=====

[8]
4
Lattice="2.792 0.000 0.000 0.000 2.792 0.000 0.000 0.000 5.957" Properties=species:S:1:pos:R:3 comment="NpWN2 (PBE-GGA, relaxed)" mass_density_kg_m3=16047 sg="P4/mmm (123)" raw_formation_energy_ev_per_atom=0.04 magmom_total_mub_per_cell=4.05 pbc="T T T"
Np 0.000 0.000 0.000
W 0.000 0.000 2.978
N 1.396 1.396 1.747
N 1.396 1.396 4.209

=====

[9]
16
Lattice="5.622 0.000 0.000 0.000 3.179 0.000 0.000 0.000 10.904" Properties=species:S:1:pos:R:3 comment="NpWN2 (PBE-GGA, relaxed)" mass_density_kg_m3=15299 sg="Pnma (62)" raw_formation_energy_ev_per_atom=-0.85 magmom_total_mub_per_cell=12.07 pbc="T T T"
Np 0.424 0.795 1.565
Np 2.387 2.384 7.017
Np 3.235 0.795 3.886
Np 5.198 2.384 9.338
W 0.386 2.384 4.341
W 2.425 0.795 9.792
W 3.197 2.384 1.111
W 5.236 0.795 6.563
N 0.940 0.795 8.232
N 1.376 2.384 10.853
N 1.435 0.795 5.401
N 1.871 2.384 2.780
N 3.751 0.795 8.124
N 4.187 2.384 5.502
N 4.246 0.795 0.050
N 4.682 2.384 2.672

=====

[10]
20
Lattice="8.671 0.000 0.000 0.000 3.025 0.000 -2.750 0.000 8.312" Properties=species:S:1:pos:R:3 comment="NpW3N6 (PBE-GGA, relaxed)" mass_density_kg_m3=13291 sg="P2_1/m (11)" raw_formation_energy_ev_per_atom=-0.49 magmom_total_mub_per_cell=4.47 pbc="T T T"
Np -0.013 0.756 1.655
Np 5.934 2.269 6.657
W -0.305 0.756 4.847
W 0.093 2.269 8.201
W 2.924 0.756 2.957
W 2.997 2.269 5.355
W 5.828 0.756 0.111
W 6.226 2.269 3.465
N -0.314 2.269 3.391
N -1.428 0.756 8.033
N -0.287 2.269 6.221
N 1.852 2.269 1.946
N 1.722 0.756 4.750
N 3.855 0.756 0.956
N 2.067 2.269 7.356
N 4.200 2.269 3.562
N 4.070 0.756 6.366
N 6.208 0.756 2.091
N 7.349 2.269 0.279
N 6.235 0.756 4.921

=====

[11]
12
Lattice="5.737 0.000 0.000 0.000 4.868 0.000 -2.178 0.000 5.443" Properties=species:S:1:pos:R:3 comment="NpWN4 (PBE-GGA, relaxed)" mass_density_kg_m3=10419 sg="P2_1/c (14)" raw_formation_energy_ev_per_atom=-0.41 magmom_total_mub_per_cell=1.99 pbc="T T T"
Np 0.000 0.000 0.000
Np -1.089 2.434 2.722
W 1.779 0.000 2.722
W 2.869 2.434 0.000
N 0.154 0.893 2.004
N -0.935 1.540 4.725
N 0.591 3.439 3.699
N 1.680 3.863 0.977
N 1.879 1.005 4.466
N 2.968 1.429 1.744
N 4.493 3.327 0.718
N 3.404 3.974 3.439

=====

[12]
20
Lattice="4.755 2.745 3.576 -4.755 2.745 3.576 0.000 -5.491 3.576" Properties=species:S:1:pos:R:3 comment="Np3WN6 (PBE-GGA, relaxed)" mass_density_kg_m3=11606 sg="R-3 (148)" raw_formation_energy_ev_per_atom=-0.92 magmom_total_mub_per_cell=17.83 pbc="T T T"
Np -2.408 -2.381 5.015
Np -3.266 0.895 5.712
Np 0.858 -3.276 5.712
Np -0.858 3.276 5.015
Np 3.266 -0.895 5.015
Np 2.408 2.381 5.712
W 0.000 0.000 0.000
W 0.000 0.000 5.364
N -4.132 -1.192 5.933
N -1.033 -4.174 4.795
N -1.782 -0.299 4.311
N -3.098 2.982 4.795
N -0.632 -1.693 6.417
N 1.150 -1.394 4.311
N -1.150 1.394 6.417
N 0.632 1.693 4.311
N 3.098 -2.982 5.933
N 1.782 0.299 6.417
N 1.033 4.174 5.933
N 4.132 1.192 4.795